1.
First-principles (PBE) data for a relaxed structure of Os3CBr, as listed in Alexandria.

SG	No. 221
volume	71	Å³/cell
spin magnetization	0.0	μB/f.u.

a b c (Å): 4.1444 4.1444 4.1444
angles (deg): 90.00 90.00 90.00
Atoms (fractional coordinates):
Os  0.0000  0.0000  0.5000
Os  0.0000  0.5000  0.0000
Os  0.5000  0.0000  0.0000
C  0.0000  0.0000  0.0000
Br  0.5000  0.5000  0.5000

2.
First-principles (PBE) data for a relaxed structure of TlGe2As2, as listed in Alexandria.

SG	No. 139
formation enthalpy at 0 K	118	meV per atom
volume	116	Å³/cell
spin magnetization	0.0	μB/f.u.

a b c (Å): 5.8174 5.8174 5.8174
angles (deg): 129.02 129.02 74.98
Atoms (fractional coordinates):
Tl  0.0000  0.0000  0.0000
Ge  0.3559  0.3559  0.0000
Ge  0.6441  0.6441  0.0000
As  0.2500  0.7500  0.5000
As  0.7500  0.2500  0.5000

3.
First-principles (PBE) data for a relaxed structure of Nb4SbTe5, as listed in Alexandria.

SG	No. 59
volume	536	Å³/cell
spin magnetization	0.0	μB/f.u.

a b c (Å): 7.7478 9.8365 7.0357
angles (deg): 90.00 90.00 90.00
Atoms (fractional coordinates):
Nb  0.0869  0.2500  0.1002
Nb  0.2500  0.5129  0.4658
Nb  0.2500  0.9871  0.4658
Nb  0.4131  0.2500  0.1002
Nb  0.5869  0.7500  0.8998
Nb  0.7500  0.0129  0.5342
Nb  0.7500  0.4871  0.5342
Nb  0.9131  0.7500  0.8998
Sb  0.2500  0.2500  0.4627
Sb  0.7500  0.7500  0.5373
Te  0.0125  0.0531  0.7851
Te  0.0125  0.4469  0.7851
Te  0.2500  0.7500  0.6858
Te  0.4875  0.0531  0.7851
Te  0.4875  0.4469  0.7851
Te  0.5125  0.5531  0.2149
Te  0.5125  0.9469  0.2149
Te  0.7500  0.2500  0.3142
Te  0.9875  0.5531  0.2149
Te  0.9875  0.9469  0.2149

4.
First-principles (PBE) data for a relaxed structure of Cu3SiRu, as listed in Alexandria.

SG	No. 221
volume	78	Å³/cell
spin magnetization	1.5	μB/f.u.

a b c (Å): 4.2746 4.2746 4.2746
angles (deg): 90.00 90.00 90.00
Atoms (fractional coordinates):
Cu  0.0000  0.0000  0.5000
Cu  0.0000  0.5000  0.0000
Cu  0.5000  0.0000  0.0000
Si  0.0000  0.0000  0.0000
Ru  0.5000  0.5000  0.5000

5.
First-principles (PBE) data for a relaxed structure of BeIr2Se, as listed in Alexandria.

SG	No. 65
volume	57	Å³/cell
spin magnetization	0.0	μB/f.u.

a b c (Å): 2.7862 2.7862 8.4197
angles (deg): 90.00 90.00 119.42
Atoms (fractional coordinates):
Be  0.0000  0.0000  0.0000
Ir  0.5000  0.5000  0.2135
Ir  0.5000  0.5000  0.7865
Se  0.0000  0.0000  0.5000

6.
First-principles (PBE) data for a relaxed structure of BeBTeRu2, as listed in Alexandria.

SG	No. 123
volume	77	Å³/cell
spin magnetization	0.0	μB/f.u.

a b c (Å): 4.1040 4.1040 4.5494
angles (deg): 90.00 90.00 90.00
Atoms (fractional coordinates):
Be  0.0000  0.0000  0.0000
B  0.5000  0.5000  0.5000
Te  0.5000  0.5000  0.0000
Ru  0.0000  0.5000  0.5000
Ru  0.5000  0.0000  0.5000

7.
First-principles (PBE) data for a relaxed structure of Mg2CrTe, as listed in Alexandria.

SG	No. 10
volume	96	Å³/cell
spin magnetization	4.5	μB/f.u.

a b c (Å): 4.0724 5.4214 4.3401
angles (deg): 90.00 90.41 90.00
Atoms (fractional coordinates):
Mg  0.2484  0.0000  0.2474
Mg  0.7516  0.0000  0.7526
Cr  0.0000  0.5000  0.0000
Te  0.5000  0.5000  0.5000

8.
First-principles (PBE) data for a relaxed structure of CoAgMo2, as listed in Alexandria.

SG	No. 123
formation enthalpy at 0 K	295	meV per atom
volume	59	Å³/cell
spin magnetization	0.7	μB/f.u.

a b c (Å): 2.6863 2.6863 8.2152
angles (deg): 90.00 90.00 90.00
Atoms (fractional coordinates):
Co  0.0000  0.0000  0.0000
Ag  0.0000  0.0000  0.5000
Mo  0.5000  0.5000  0.2189
Mo  0.5000  0.5000  0.7811

9.
First-principles (PBE) data for a relaxed structure of AcTbRh2, as listed in Alexandria.

SG	No. 38
formation enthalpy at 0 K	-710	meV per atom
volume	95	Å³/cell
spin magnetization	0.0	μB/f.u.

a b c (Å): 4.3009 5.9069 5.9069
angles (deg): 39.15 90.00 90.00
Atoms (fractional coordinates):
Ac  0.0000  0.0000  0.0000
Tb  0.5000  0.7219  0.7219
Rh  0.0000  0.2684  0.2684
Rh  0.5000  0.4391  0.4391

Short version: electronic total energy = -37.4, -20.3, -120.6, -22.7, -24.1, -28.0, -15.1, -30.4, -26.3 eV per cell, in the order given.